A plane-wave DFT calculation with PBE was carried out for Hf4PRu after structural relaxation.

Cell and atoms, written as CIF:
```
data_Hf4PRu
_cell_length_a 6.342
_cell_length_b 6.484
_cell_length_c 6.083
_cell_angle_alpha 96.39
_cell_angle_beta 90.00
_cell_angle_gamma 90.00
_symmetry_space_group_name_H-M 'P 1'
_symmetry_Int_Tables_number 1
loop_
_symmetry_equiv_pos_as_xyz
'x,y,z'
loop_
_atom_site_label
_atom_site_type_symbol
_atom_site_fract_x
_atom_site_fract_y
_atom_site_fract_z
_atom_site_occupancy
Ru1 Ru 0.500 0.000 0.500 1
Ru2 Ru 0.000 0.500 0.500 1
Hf1 Hf 0.651 0.829 0.865 1
Hf2 Hf 0.151 0.671 0.135 1
Hf3 Hf 0.839 0.138 0.362 1
Hf4 Hf 0.849 0.329 0.865 1
Hf5 Hf 0.661 0.638 0.362 1
Hf6 Hf 0.339 0.362 0.638 1
Hf7 Hf 0.349 0.171 0.135 1
Hf8 Hf 0.161 0.862 0.638 1
P1 P 0.500 0.500 0.000 1
P2 P 0.000 0.000 0.000 1
```

Results
* E: -9.53 eV/atom
* density of states at the Fermi level: 3.95 states/eV/f.u.
* formation energy from the elements: -0.4439 eV/atom
* SG: P2_1/c